Entry a
Entry from Alexandria via LeMat-Bulk: an optimized crystal structure of LaAuBr4 (PBE-GGA).

Magnetic moment, μB/f.u.: 0.007

a b c (Å): 8.7045 8.7045 8.7045
angles (deg): 90.00 90.00 90.00
Space group F-43m (No. 216)
Symmetry-distinct sites (fractional):
1 La 0.0000 0.0000 0.0000 [4 per cell]
2 Au 0.2500 0.2500 0.7500 [4 per cell]
3 Br 0.1250 0.1250 0.3750 [16 per cell]

Entry b
Entry from Alexandria via LeMat-Bulk: an optimized crystal structure of LaAuBr4 (PBE-GGA).

Magnetic moment, μB/f.u.: 0.000

a b c (Å): 8.3742 19.5900 7.3200
angles (deg): 90.00 121.18 90.00
Space group C2/c (No. 15)
Symmetry-distinct sites (fractional):
1 La 0.0000 0.1907 0.2500 [4 per cell]
2 Au 0.0000 0.4171 0.7500 [4 per cell]
3 Br 0.1857 0.0712 0.1843 [8 per cell]
4 Br 0.2333 0.2051 0.7208 [8 per cell]

It is entry a that is the least stable of them.

Entry a
Entry from Alexandria via LeMat-Bulk: an optimized crystal structure of CaLaCd2 (PBE-GGA).

Magnetic moment, μB/f.u.: 0.689

a b c (Å): 8.5651 8.5651 7.2881
angles (deg): 90.00 90.00 90.00
Space group I-42d (No. 122)
Symmetry-distinct sites (fractional):
1 Ca 0.0000 0.0000 0.0000 [4 per cell]
2 La 0.0000 0.0000 0.5000 [4 per cell]
3 Cd 0.2427 0.2500 0.1250 [8 per cell]

Entry b
Entry from Alexandria via LeMat-Bulk: an optimized crystal structure of CaLaCd2 (PBE-GGA).

Magnetic moment, μB/f.u.: 0.267

a b c (Å): 3.6759 5.5563 11.5834
angles (deg): 90.00 90.00 90.00
Space group Imm2 (No. 44)
Symmetry-distinct sites (fractional):
1 Ca 0.0000 0.0000 0.0000 [2 per cell]
2 La 0.0000 0.5000 0.2068 [2 per cell]
3 Cd 0.0000 0.0000 0.4578 [2 per cell]
4 Cd 0.0000 0.5000 0.7560 [2 per cell]

It is entry a that is the least stable of them.

Entry a
Entry from Alexandria via LeMat-Bulk: an optimized crystal structure of PtRhN (PBE-GGA).

Magnetic moment, μB/f.u.: 0.000

a b c (Å): 2.9070 2.9070 31.1901
angles (deg): 90.00 90.00 120.00
Space group R3m (No. 160, hexagonal axes)
Symmetry-distinct sites (fractional):
1 Pt 0.0000 0.0000 0.0000 [3 per cell]
2 Pt 0.0000 0.0000 0.2599 [3 per cell]
3 Rh 0.0000 0.0000 0.4065 [3 per cell]
4 Rh 0.0000 0.0000 0.5201 [3 per cell]
5 N 0.0000 0.0000 0.7745 [3 per cell]
6 N 0.0000 0.0000 0.8187 [3 per cell]

Entry b
Entry from Alexandria via LeMat-Bulk: an optimized crystal structure of PtRhN (PBE-GGA).

Magnetic moment, μB/f.u.: 0.000

a b c (Å): 9.7962 2.9970 5.5152
angles (deg): 90.00 100.33 90.00
Space group Cm (No. 8)
Symmetry-distinct sites (fractional):
1 Pt 0.0000 0.0000 0.0000 [2 per cell]
2 Pt 0.2483 0.0000 0.7910 [2 per cell]
3 Rh 0.2282 0.5000 0.2370 [2 per cell]
4 Rh 0.4707 0.0000 0.5464 [2 per cell]
5 N 0.1719 0.5000 0.5619 [2 per cell]
6 N 0.4276 0.5000 0.3147 [2 per cell]

It is entry b that is the least stable of them.

Entry a
Entry from Alexandria via LeMat-Bulk: an optimized crystal structure of CrSbP (PBE-GGA).

Magnetic moment, μB/f.u.: 0.606

a b c (Å): 3.0881 4.3722 8.7491
angles (deg): 83.19 80.40 69.42
Space group P1 (No. 1)
Symmetry-distinct sites (fractional):
1 Cr 0.0000 0.0000 0.0000 [1 per cell]
2 Cr 0.3481 0.4800 0.8119 [1 per cell]
3 Sb 0.3610 0.0475 0.2659 [1 per cell]
4 Sb 0.5089 0.4905 0.5010 [1 per cell]
5 P 0.6386 0.9243 0.7876 [1 per cell]
6 P 0.7145 0.5542 0.0150 [1 per cell]

Entry b
Entry from Alexandria via LeMat-Bulk: an optimized crystal structure of CrSbP (PBE-GGA).

Magnetic moment, μB/f.u.: 0.981

a b c (Å): 4.5339 4.2240 5.5642
angles (deg): 90.00 106.12 90.00
Space group P2_1/m (No. 11)
Symmetry-distinct sites (fractional):
1 Cr 0.1098 0.2500 0.3811 [2 per cell]
2 Sb 0.2311 0.2500 0.9302 [2 per cell]
3 P 0.3372 0.7500 0.4802 [2 per cell]

It is entry b that is the least stable of them.

Entry a
Entry from Alexandria via LeMat-Bulk: an optimized crystal structure of RbSnHg (PBE-GGA).

Magnetic moment, μB/f.u.: 0.000

a b c (Å): 5.2697 5.2697 4.3504
angles (deg): 90.00 90.00 120.00
Space group P-6m2 (No. 187)
Symmetry-distinct sites (fractional):
1 Rb 0.0000 0.0000 0.0000 [1 per cell]
2 Sn 0.3333 0.6667 0.5000 [1 per cell]
3 Hg 0.6667 0.3333 0.5000 [1 per cell]

Entry b
Entry from Alexandria via LeMat-Bulk: an optimized crystal structure of RbSnHg (PBE-GGA).

Magnetic moment, μB/f.u.: 0.000

a b c (Å): 13.1903 4.6674 7.4778
angles (deg): 90.00 90.00 90.00
Space group Pnma (No. 62)
Symmetry-distinct sites (fractional):
1 Rb 0.2148 0.2500 0.1336 [4 per cell]
2 Sn 0.0475 0.2500 0.5861 [4 per cell]
3 Hg 0.0572 0.7500 0.8870 [4 per cell]

It is entry a that is the least stable of them.

Entry a
Entry from Alexandria via LeMat-Bulk: an optimized crystal structure of GaTeH (PBE-GGA).

Magnetic moment, μB/f.u.: 0.000

a b c (Å): 7.1335 4.9281 8.1336
angles (deg): 90.00 115.84 90.00
Space group C2 (No. 5)
Symmetry-distinct sites (fractional):
1 Ga 0.0000 0.0000 0.0000 [2 per cell]
2 Ga 0.0000 0.4825 0.5000 [2 per cell]
3 Te 0.1794 0.8334 0.7861 [4 per cell]
4 H 0.1931 0.3432 0.4940 [4 per cell]

Entry b
Entry from Alexandria via LeMat-Bulk: an optimized crystal structure of GaTeH (PBE-GGA).

Magnetic moment, μB/f.u.: 0.000

a b c (Å): 4.1357 4.1372 11.5784
angles (deg): 81.13 80.20 60.03
Space group P1 (No. 1)
Symmetry-distinct sites (fractional):
1 Ga 0.0000 0.0000 0.0000 [1 per cell]
2 Ga 0.0756 0.0582 0.7841 [1 per cell]
3 Te 0.4476 0.4204 0.6729 [1 per cell]
4 Te 0.6281 0.6380 0.1112 [1 per cell]
5 H 0.2526 0.2353 0.4139 [1 per cell]
6 H 0.2614 0.1001 0.3752 [1 per cell]

It is entry a that is the least stable of them.